Entry 1:
Density functional theory data (PBE-GGA) for a relaxed InCuSnTe2S crystal.

Geometry as CIF:
```
data_InCuSnTe2S
_cell_length_a 4.165
_cell_length_b 13.484
_cell_length_c 10.997
_cell_angle_alpha 90.00
_cell_angle_beta 90.00
_cell_angle_gamma 90.00
_space_group_name_H-M_alt 'C m c m'
_space_group_IT_number 63
_space_group_name_Hall '-C 2c 2'
loop_
_atom_site_label
_atom_site_type_symbol
_atom_site_fract_x
_atom_site_fract_y
_atom_site_fract_z
_atom_site_occupancy
In1 In 0.000 0.213 0.250 1
Cu1 Cu 0.000 0.033 0.750 1
Sn1 Sn 0.000 0.500 0.000 1
Te1 Te 0.000 0.154 0.557 1
S1 S 0.000 0.452 0.750 1
```

Computed properties:
Its calculated total energy is -3.64 eV per atom.

---

Entry 2:
Density functional theory data (PBE-GGA) for a relaxed B3W4C2 crystal.

Geometry as CIF:
```
data_B3W4C2
_cell_length_a 3.147
_cell_length_b 37.114
_cell_length_c 3.080
_cell_angle_alpha 90.00
_cell_angle_beta 90.00
_cell_angle_gamma 90.00
_space_group_name_H-M_alt 'C m c m'
_space_group_IT_number 63
_space_group_name_Hall '-C 2c 2'
loop_
_atom_site_label
_atom_site_type_symbol
_atom_site_fract_x
_atom_site_fract_y
_atom_site_fract_z
_atom_site_occupancy
B1 B 0.000 0.012 0.250 1
B2 B 0.000 0.061 0.250 1
B3 B 0.000 0.087 0.750 1
W1 W 0.000 0.160 0.750 1
W2 W 0.000 0.277 0.750 1
W3 W 0.000 0.394 0.750 1
W4 W 0.000 0.463 0.250 1
C1 C 0.000 0.218 0.750 1
C2 C 0.000 0.337 0.750 1
```

Computed properties:
Its calculated total energy is -10.03 eV per atom.

---

Entry 3:
Density functional theory data (PBE-GGA) for a relaxed CsHfNO crystal.

Geometry as CIF:
```
data_CsHfNO
_cell_length_a 3.608
_cell_length_b 7.473
_cell_length_c 6.449
_cell_angle_alpha 90.00
_cell_angle_beta 90.00
_cell_angle_gamma 90.00
_space_group_name_H-M_alt 'P m c 21'
_space_group_IT_number 26
loop_
_space_group_symop_operation_xyz
'x,y,z'
'-x,-y,z+1/2'
'-x,y,z'
'x,-y,z+1/2'
loop_
_atom_site_label
_atom_site_type_symbol
_atom_site_fract_x
_atom_site_fract_y
_atom_site_fract_z
_atom_site_occupancy
Cs1 Cs 0.000 0.209 0.000 1
Hf1 Hf 0.500 0.345 0.500 1
N1 N 0.500 0.492 0.757 1
O1 O 0.000 0.212 0.495 1
```

Computed properties:
Its calculated total energy is -7.77 eV per atom.

---

Entry 4:
Density functional theory data (PBE-GGA) for a relaxed KLi3Zr2Si12O30 crystal.

Geometry as CIF:
```
data_KLi3Zr2Si12O30
_cell_length_a 10.1246
_cell_length_b 10.1246
_cell_length_c 14.3336
_cell_angle_alpha 90.00
_cell_angle_beta 90.00
_cell_angle_gamma 120.00
_space_group_name_H-M_alt 'P 6/m c c'
_space_group_IT_number 192
_space_group_name_Hall '-P 6 2c'
loop_
_atom_site_label
_atom_site_type_symbol
_atom_site_fract_x
_atom_site_fract_y
_atom_site_fract_z
_atom_site_occupancy
K1 K 0.0000 0.0000 0.2500 1
Li1 Li 0.0000 0.5000 0.2500 1
Zr1 Zr 0.3333 0.6667 0.2500 1
Si1 Si 0.1099 0.3517 0.1099 1
O1 O 0.0620 0.2785 0.3634 1
O2 O 0.1227 0.3923 0.0000 1
O3 O 0.1538 0.5007 0.1710 1
```

Computed properties:
Its calculated total energy is -7.77 eV per atom.